This record from Alexandria describes crystalline AcPm3Fe at its relaxed geometry. The functional is GGA-PBE.

```
5
Lattice="5.4855 0.0000 0.0000 0.0000 5.4855 0.0000 0.0000 0.0000 5.4855" Properties=species:S:1:pos:R:3 pbc="T T T"
Ac 0.0000 0.0000 0.0000
Pm 0.0000 2.7427 2.7427
Pm 2.7427 0.0000 2.7427
Pm 2.7427 2.7427 0.0000
Fe 2.7427 2.7427 2.7427
```

SG: Pm-3m (221)
DFT total energy in eV per atom: -5.20
M_tot in μB/cell: 0.0
DFT formation energy in meV/atom: 166


This record from Alexandria describes crystalline Mn3AlTe at its relaxed geometry. The functional is GGA-PBE.

```
5
Lattice="4.6390 0.0000 0.0000 0.0000 4.6390 0.0000 0.0000 0.0000 4.6390" Properties=species:S:1:pos:R:3 pbc="T T T"
Mn 0.0000 0.0000 2.3195
Mn 0.0000 2.3195 0.0000
Mn 2.3195 0.0000 0.0000
Al 0.0000 0.0000 0.0000
Te 2.3195 2.3195 2.3195
```

SG: Pm-3m (221)
DFT total energy in eV per atom: -6.11
Energy relative to the lowest polymorph listed for this composition in eV per atom: 0.000
Energy relative to the elements, uncorrected in meV per atom: 766.6
M_tot in μB/cell: 10.2


This record from Alexandria describes crystalline KBe2Pt at its relaxed geometry. The functional is GGA-PBE.

```
4
Lattice="4.6819 0.0000 0.0000 0.0000 4.6819 0.0000 0.0000 0.0000 2.7609" Properties=species:S:1:pos:R:3 pbc="T T T"
K 0.0000 0.0000 0.0000
Be 0.0000 2.3409 1.3805
Be 2.3409 0.0000 1.3805
Pt 2.3409 2.3409 0.0000
```

SG: P4/mmm (123)
DFT total energy in eV per atom: -2.93
Energy relative to the lowest polymorph listed for this composition in eV per atom: 0.998
M_tot in μB/cell: 0.0
DFT formation energy in meV/atom: 713